## MgAsWO2 (PBE with a Hubbard U)

Data for a relaxed structure of MgAsWO2.

Summary:
electronic total energy = -27.3 eV for the cell shown

Geometry as POSCAR:
```
MgAsWO2
1.0
3.820 0.000 0.000
0.000 3.820 0.000
0.000 0.000 7.623
O W As Mg
2 1 1 1
direct
0.000 0.500 0.000
0.500 0.000 0.000
0.000 0.000 0.000
0.500 0.500 0.500
0.000 0.000 0.500
```